The following is a DFT calculation (GGA-PBE) of an optimized crystal structure of RbU2BeO8.

The total moment is 0.9 μB/cell. Its raw total energy is -0.2932 hartree per atom. The theoretical density comes out at 6.09 g/cm³. The uncorrected formation energy comes out at -2401.1 meV per atom.

Unit cell a=5.2899 b=5.2899 c=7.0665 alpha=93.44 beta=93.44 gamma=75.09
Fractional coordinates of all 12 atoms:
1 Rb 0.0000 0.0000 0.0000
2 U 0.4993 0.4993 0.7373
3 U 0.5007 0.5007 0.2627
4 Be 0.0000 0.0000 0.5000
5 O 0.1803 0.7954 0.3241
6 O 0.2046 0.8197 0.6759
7 O 0.3466 0.3466 0.5126
8 O 0.3533 0.3533 0.0262
9 O 0.6467 0.6467 0.9738
10 O 0.6534 0.6534 0.4874
11 O 0.7954 0.1803 0.3241
12 O 0.8197 0.2046 0.6759